Record 1
Material: Li3GeC
Method: DFT, PBE-GGA
State: optimized geometry

```
5
Lattice="-1.2629 -0.1305 3.8522 1.9470 -3.5201 0.5190 3.3265 2.0107 1.1587" Properties=species:S:1:pos:R:3 pbc="T T T"
Ge 2.0053 -0.8200 2.7650
C 0.0000 0.0000 0.0000
Li 0.9735 -1.7601 0.2595
Li 1.6632 1.0054 0.5794
Li -0.6315 -0.0653 1.9261
```

Summary:
The calculated total energy is -3.4362 eV per atom. The value obtained for the energy relative to the elements is 0.480 eV per atom. The calculation puts the polymorph energy (0 for the lowest one) at 0.000 eV per atom. The crystal system is cubic. The size of the total moment comes out at 0.000 μB/f.u. The value obtained for the density is 2.62 g/cm³.

---

Record 2
Material: LiMnGe2C
Method: DFT, PBE-GGA
State: optimized geometry

```
5
Lattice="4.5530 0.0000 0.0000 0.0000 3.4972 0.0000 0.0000 0.0000 4.5530" Properties=species:S:1:pos:R:3 pbc="T T T"
Ge 0.0000 0.0000 2.2765
Ge 2.2765 0.0000 0.0000
Mn 2.2765 1.7486 2.2765
C 0.0000 1.7486 0.0000
Li 0.0000 0.0000 0.0000
```

Summary:
The calculated total energy is -4.3332 eV per atom. The value obtained for the energy relative to the elements is 1.575 eV per atom. The crystal system is tetragonal. The size of the total moment comes out at 0.000 μB/f.u. The value obtained for the density is 5.02 g/cm³.

---

Record 3
Material: LiGeMoC2
Method: DFT, PBE-GGA
State: optimized geometry

```
5
Lattice="-1.0651 -2.4863 -2.4995 4.1646 -0.1388 -1.6365 0.8314 -2.7146 2.3460" Properties=species:S:1:pos:R:3 pbc="T T T"
C 0.4157 -1.3573 1.1730
C -0.5325 -1.2432 -1.2498
Mo 2.0823 -0.0694 -0.8183
Ge 1.9654 -2.6699 -0.8950
Li 0.0000 0.0000 0.0000
```

Summary:
The calculated total energy is -4.9794 eV per atom. The value obtained for the energy relative to the elements is 2.183 eV per atom. The crystal system is tetragonal. The size of the total moment comes out at 0.005 μB/f.u. The value obtained for the density is 5.46 g/cm³.

---

Record 4
Material: Li2GeOsC
Method: DFT, PBE-GGA
State: optimized geometry

```
5
Lattice="4.7552 0.0000 0.0000 0.0000 3.8400 0.0000 0.0000 0.0000 4.7552" Properties=species:S:1:pos:R:3 pbc="T T T"
Ge 2.3776 1.9200 2.3776
Os 0.0000 0.0000 0.0000
C 0.0000 1.9200 0.0000
Li 0.0000 0.0000 2.3776
Li 2.3776 0.0000 0.0000
```

Summary:
The calculated total energy is -4.8671 eV per atom. The value obtained for the energy relative to the elements is 0.913 eV per atom. The crystal system is tetragonal. The size of the total moment comes out at 0.000 μB/f.u. The value obtained for the density is 5.52 g/cm³.

---

Record 5
Material: LiGeCSe2
Method: DFT, PBE-GGA
State: optimized geometry

```
5
Lattice="-0.4173 -1.7917 -4.1627 -0.3626 -3.6412 1.6036 -4.5130 0.5453 0.2177" Properties=species:S:1:pos:R:3 pbc="T T T"
Ge -2.6465 -2.4438 -1.1707
C 0.0000 0.0000 0.0000
Se -2.2565 0.2726 0.1088
Se -0.2086 -0.8959 -2.0813
Li -0.1813 -1.8206 0.8018
```

Summary:
The value obtained for the uncorrected formation energy is 0.66 eV per atom. The calculated total energy is -3.8848 eV per atom. The crystal system is tetragonal. The size of the total moment comes out at 0.000 μB/f.u. The value obtained for the density is 5.01 g/cm³.

---

Record 6
Material: SrLiGeC2
Method: DFT, PBE-GGA
State: optimized geometry

```
5
Lattice="4.1737 0.0000 0.0000 0.0000 5.5320 0.0000 0.0000 0.0000 4.1737" Properties=species:S:1:pos:R:3 pbc="T T T"
Sr 0.0000 2.7660 0.0000
Ge 0.0000 0.0000 0.0000
C 0.0000 0.0000 2.0869
C 2.0869 0.0000 0.0000
Li 2.0869 2.7660 2.0869
```

Summary:
The calculated total energy is -3.5313 eV per atom. The value obtained for the energy relative to the elements is 1.801 eV per atom. The crystal system is tetragonal. The size of the total moment comes out at 0.556 μB/f.u. The value obtained for the density is 3.29 g/cm³.

---

Record 7
Material: LiTc2GeC
Method: DFT, PBE-GGA
State: optimized geometry

```
5
Lattice="-0.6606 -2.1798 -3.3751 1.5250 -3.3005 1.8332 -3.4792 -0.9048 1.2653" Properties=species:S:1:pos:R:3 pbc="T T T"
C 0.0000 0.0000 0.0000
Ge -1.3074 -3.1925 -0.1383
Tc 0.7625 -1.6502 0.9166
Tc -0.3303 -1.0899 -1.6875
Li -1.7396 -0.4524 0.6327
```

Summary:
The calculated total energy is -7.2159 eV per atom. The value obtained for the energy relative to the elements is 0.081 eV per atom. The crystal system is tetragonal. The size of the total moment comes out at 0.000 μB/f.u. The value obtained for the density is 7.56 g/cm³.

---

Record 8
Material: LiTlGe2C
Method: DFT, PBE-GGA
State: optimized geometry

```
5
Lattice="-0.8849 2.4625 3.5713 -4.2181 0.3673 -1.2984 -1.0182 -3.6609 2.2720" Properties=species:S:1:pos:R:3 pbc="T T T"
C 0.0000 0.0000 0.0000
Tl -3.0606 -0.4155 2.2724
Ge -0.5091 -1.8305 1.1360
Ge -0.4424 1.2313 1.7856
Li -2.1090 0.1837 -0.6492
```

Summary:
The calculated total energy is -3.9169 eV per atom. The value obtained for the energy relative to the elements is 0.631 eV per atom. The crystal system is tetragonal. The size of the total moment comes out at 0.000 μB/f.u. The value obtained for the density is 7.05 g/cm³.

---

Record 9
Material: LiY2GeC
Method: DFT, PBE-GGA
State: optimized geometry

```
5
Lattice="4.8513 0.0000 0.0000 0.0000 4.8513 0.0000 0.0000 0.0000 4.1496" Properties=species:S:1:pos:R:3 pbc="T T T"
Y 0.0000 2.4256 0.0000
Y 2.4256 0.0000 0.0000
Ge 2.4256 2.4256 2.0748
C 0.0000 0.0000 0.0000
Li 0.0000 0.0000 2.0748
```

Summary:
The calculated total energy is -6.1111 eV per atom. The value obtained for the energy relative to the elements is -0.374 eV per atom. The crystal system is tetragonal. The size of the total moment comes out at 0.000 μB/f.u. The value obtained for the density is 4.58 g/cm³.

---

Record 10
Material: Lu5Ge3C
Method: DFT, PBE-GGA
State: optimized geometry

```
18
Lattice="8.2959 0.0000 0.0000 -4.1479 7.1844 0.0000 0.0000 0.0000 6.3151" Properties=species:S:1:pos:R:3 pbc="T T T"
Lu 4.1479 2.3948 3.1575
Lu 0.0000 4.7896 3.1575
Lu 0.0000 4.7896 0.0000
Lu 4.1479 2.3948 0.0000
Lu 3.2353 5.6036 1.5788
Lu 1.8254 0.0000 1.5788
Lu -0.9127 1.5808 1.5788
Lu 0.9127 1.5808 4.7363
Lu 6.4705 0.0000 4.7363
Lu -3.2353 5.6036 4.7363
Ge 1.7026 2.9489 1.5788
Ge 4.8908 0.0000 1.5788
Ge -2.4454 4.2355 1.5788
Ge 2.4454 4.2355 4.7363
Ge 3.4051 0.0000 4.7363
Ge -1.7026 2.9489 4.7363
C 0.0000 0.0000 3.1575
C 0.0000 0.0000 0.0000
```

Summary:
The calculated total energy is -5.8232 eV per atom. The value obtained for the energy relative to the elements is -0.747 eV per atom. The crystal system is hexagonal. The size of the total moment comes out at 0.000 μB/f.u. The value obtained for the density is 9.75 g/cm³.

---

Record 11
Material: MgGeC3
Method: DFT, PBE-GGA
State: optimized geometry

```
5
Lattice="-2.3156 2.7096 -1.7695 -3.1033 -1.2422 2.1590 0.9178 2.6363 2.8359" Properties=species:S:1:pos:R:3 pbc="T T T"
C -1.5517 -0.6211 1.0795
C 0.4589 1.3182 1.4180
C -1.1578 1.3548 -0.8847
Ge 0.0000 0.0000 0.0000
Mg -2.2506 2.0519 1.6127
```

Summary:
The calculated total energy is -4.4986 eV per atom. The value obtained for the energy relative to the elements is 2.278 eV per atom. The calculation puts the polymorph energy (0 for the lowest one) at 0.000 eV per atom. The crystal system is cubic. The size of the total moment comes out at 0.000 μB/f.u. The value obtained for the density is 3.50 g/cm³.

---

Record 12
Material: MgGeC2
Method: DFT, PBE-GGA
State: optimized geometry

```
8
Lattice="-4.0332 2.9599 -0.6970 -2.5442 -2.6505 3.4663 -1.8424 2.8632 4.5173" Properties=species:S:1:pos:R:3 pbc="T T T"
C -3.4757 2.3638 1.0965
C -2.3786 -0.7002 3.2391
C -3.7371 2.3792 4.2750
C -7.2482 2.3022 5.9626
Ge 0.0000 0.0000 0.0000
Ge -4.5821 2.9889 2.6025
Mg -3.2887 0.1547 1.3847
Mg -3.8376 0.1837 4.6841
```

Summary:
The calculated total energy is -5.0831 eV per atom. The value obtained for the energy relative to the elements is 1.082 eV per atom. The calculation puts the polymorph energy (0 for the lowest one) at 0.000 eV per atom. The crystal system is tetragonal. The size of the total moment comes out at 1.201 μB/f.u. The value obtained for the density is 3.59 g/cm³.

---

Record 13
Material: MgGeC3
Method: DFT, PBE-GGA
State: optimized geometry

```
5
Lattice="-3.9960 -0.6485 0.7245 0.7442 -4.0120 0.5132 0.6258 0.6297 4.0156" Properties=species:S:1:pos:R:3 pbc="T T T"
C 0.3721 -2.0060 0.2566
C 0.3129 0.3149 2.0078
C -1.9980 -0.3243 0.3622
Ge -1.3130 -2.0154 2.6266
Mg 0.0000 0.0000 0.0000
```

Summary:
The calculated total energy is -3.8533 eV per atom. The value obtained for the energy relative to the elements is 2.923 eV per atom. The calculation puts the polymorph energy (0 for the lowest one) at 0.645 eV per atom. The crystal system is cubic. The size of the total moment comes out at 0.000 μB/f.u. The value obtained for the density is 3.17 g/cm³.